A relaxed structure of Nb3RuW, computed with PBE.

## Properties
Raw total energy, eV/atom: -10.322
Energy above the most stable polymorph in this dataset, meV/atom: 334
Energy of formation, meV/atom: 166
Fermi-level density of states, states/eV/cell: 16.17
Space group: No. 15
Calculated density, Mg/m³: 10.394

Unit cell a=9.066 b=9.066 c=5.485 alpha=103.94 beta=103.94 gamma=56.15
Atoms (fractional coordinates):
Nb 0.046 0.247 0.614
Nb 0.198 0.703 0.957
Nb 0.247 0.046 0.114
Nb 0.297 0.802 0.543
Nb 0.313 0.345 0.550
Nb 0.345 0.313 0.050
Nb 0.655 0.687 0.950
Nb 0.687 0.655 0.450
Nb 0.703 0.198 0.457
Nb 0.753 0.954 0.886
Nb 0.802 0.297 0.043
Nb 0.954 0.753 0.386
Ru 0.002 0.998 0.250
Ru 0.499 0.501 0.250
Ru 0.501 0.499 0.750
Ru 0.998 0.002 0.750
W 0.008 0.428 0.205
W 0.428 0.008 0.705
W 0.572 0.992 0.295
W 0.992 0.572 0.795